Record 1
Entry from Alexandria: Ti2AlB2 at its PBEsol-relaxed geometry (meta-GGA SCAN).

It has space group P4/mbm (No. 127), with a = 5.723 Å, b = 5.723 Å, c = 3.351 Å, α = 90.00°, β = 90.00° and γ = 90.00°. The asymmetric unit holds Ti at (0.176, 0.324, 0.000), Al at (0.000, 0.000, 0.500) and B at (0.108, 0.608, 0.500).

The calculation puts the total energy at -116.9 eV per cell.



Record 2
Entry from Alexandria: Ta2AlW at its PBEsol-relaxed geometry (meta-GGA SCAN).

It has space group Pm (No. 6), with a = 2.765 Å, b = 4.580 Å, c = 5.287 Å, α = 90.00°, β = 98.90° and γ = 90.00°. The asymmetric unit holds Ta at (0.000, 0.000, 0.000), Ta at (0.264, 0.500, 0.738), Al at (0.558, 0.000, 0.492) and W at (0.750, 0.500, 0.234).

The calculation puts the total energy at -211.0 eV per cell.



Record 3
Entry from Alexandria: AlPdO2 at its PBEsol-relaxed geometry (meta-GGA SCAN).

It has space group I-42d (No. 122), with a = 4.807 Å, b = 4.807 Å, c = 8.285 Å, α = 90.00°, β = 90.00° and γ = 90.00°. The asymmetric unit holds Al at (0.000, 0.000, 0.000), Pd at (0.000, 0.000, 0.500) and O at (0.160, 0.750, 0.125).

Its formation energy without anion corrections is -1.866 eV/atom. The calculation puts the total energy at -241.8 eV per cell.



Record 4
Entry from Alexandria: YAgP2 at its PBEsol-relaxed geometry (meta-GGA SCAN).

It has space group R3m (No. 160, hexagonal axes), with a = 4.2630 Å, b = 4.2630 Å, c = 15.7786 Å, α = 90.00°, β = 90.00° and γ = 120.00°. The asymmetric unit holds Y at (0.0000, 0.0000, 0.0000), Ag at (0.0000, 0.0000, 0.7995), P at (0.0000, 0.0000, 0.2574) and P at (0.0000, 0.0000, 0.4110).

The calculation puts the total energy at -247.3 eV per cell.



Record 5
Entry from Alexandria: CuHg2Os at its PBEsol-relaxed geometry (meta-GGA SCAN).

It has space group P4mm (No. 99), with a = 2.838 Å, b = 2.838 Å, c = 8.302 Å, α = 90.00°, β = 90.00° and γ = 90.00°. The asymmetric unit holds Cu at (0.000, 0.000, 0.000), Hg at (0.000, 0.000, 0.550), Hg at (0.500, 0.500, 0.237) and Os at (0.500, 0.500, 0.804).

The calculation puts the total energy at -220.9 eV per cell.



Record 6
Entry from Alexandria: TaCoSi2As at its PBEsol-relaxed geometry (meta-GGA SCAN).

It has space group P4/mmm (No. 123), with a = 4.143 Å, b = 4.143 Å, c = 4.780 Å, α = 90.00°, β = 90.00° and γ = 90.00°. The asymmetric unit holds Ta at (0.000, 0.000, 0.000), Co at (0.000, 0.000, 0.500), Si at (0.000, 0.500, 0.500) and As at (0.500, 0.500, 0.000).

Its formation energy without anion corrections is 0.384 eV/atom. The calculation puts the total energy at -122.2 eV per cell.



Record 7
Entry from Alexandria: CaSn2WO at its PBEsol-relaxed geometry (meta-GGA SCAN).

It has space group P4/mmm (No. 123), with a = 4.697 Å, b = 4.697 Å, c = 4.227 Å, α = 90.00°, β = 90.00° and γ = 90.00°. The asymmetric unit holds Ca at (0.000, 0.000, 0.000), Sn at (0.000, 0.500, 0.500), W at (0.500, 0.500, 0.000) and O at (0.000, 0.000, 0.500).

Its formation energy without anion corrections is -0.081 eV/atom. The calculation puts the total energy at -157.8 eV per cell.



Record 8
Entry from Alexandria: K3Tl at its PBEsol-relaxed geometry (meta-GGA SCAN).

It has space group Pnma (No. 62), with a = 9.543 Å, b = 11.299 Å, c = 7.404 Å, α = 90.00°, β = 90.00° and γ = 90.00°. The asymmetric unit holds K at (0.027, 0.250, 0.107), K at (0.178, 0.054, 0.631) and Tl at (0.116, 0.750, 0.418).

The calculation puts the total energy at -390.5 eV per cell.



Record 9
Entry from Alexandria: Ta5Pt at its PBEsol-relaxed geometry (meta-GGA SCAN).

It has space group Cmmm (No. 65), with a = 3.315 Å, b = 13.477 Å, c = 4.581 Å, α = 90.00°, β = 90.00° and γ = 90.00°. The asymmetric unit holds Ta at (0.000, 0.000, 0.000), Ta at (0.000, 0.165, 0.500), Ta at (0.000, 0.334, 0.000) and Pt at (0.000, 0.500, 0.500).

The calculation puts the total energy at -809.9 eV per cell.



Record 10
Entry from Alexandria: Cd2IrAu at its PBEsol-relaxed geometry (meta-GGA SCAN).

It has space group C2/m (No. 12), with a = 9.379 Å, b = 3.020 Å, c = 4.938 Å, α = 90.00°, β = 102.29° and γ = 90.00°. The asymmetric unit holds Cd at (0.246, 0.000, 0.244), Ir at (0.000, 0.500, 0.000) and Au at (0.000, 0.000, 0.500).

The calculation puts the total energy at -401.1 eV per cell.



Record 11
Entry from Alexandria: ScSi2I at its PBEsol-relaxed geometry (meta-GGA SCAN).

It has space group Fm-3m (No. 225), with a = 6.932 Å, b = 6.932 Å, c = 6.932 Å, α = 90.00°, β = 90.00° and γ = 90.00°. The asymmetric unit holds Sc at (0.000, 0.000, 0.000), Si at (0.250, 0.250, 0.250) and I at (0.000, 0.000, 0.500).

Its formation energy without anion corrections is 0.752 eV/atom. The calculation puts the total energy at -272.0 eV per cell.



Record 12
Entry from Alexandria: SrCrBO2 at its PBEsol-relaxed geometry (meta-GGA SCAN).

It has space group P4/mmm (No. 123), with a = 3.663 Å, b = 3.663 Å, c = 6.563 Å, α = 90.00°, β = 90.00° and γ = 90.00°. The asymmetric unit holds Sr at (0.000, 0.000, 0.000), Cr at (0.000, 0.000, 0.500), B at (0.500, 0.500, 0.000) and O at (0.000, 0.500, 0.500).

Its formation energy without anion corrections is -0.179 eV/atom. The calculation puts the total energy at -61.4 eV per cell.